1.
A plane-wave DFT calculation with PBE was carried out for a relaxed MnAs2Br crystal.

## Properties
E above lowest polymorph: 0.085 eV/atom

a b c (Å): 4.572 4.572 7.484
angles (deg): 105.19 105.19 42.89
Fractional coordinates of all 4 atoms:
Mn: 0.000 0.000 0.000
As: 0.275 0.275 0.935
As: 0.442 0.442 0.732
Br: 0.621 0.621 0.257

=====

2.
A plane-wave DFT calculation with PBE was carried out for a relaxed MnAsBr crystal.

## Properties
E above lowest polymorph: 0.882 eV/atom

a b c (Å): 4.711 4.711 4.711
angles (deg): 60.00 60.00 60.00
Fractional coordinates of all 3 atoms:
Mn: 0.000 0.000 0.000
As: 0.250 0.250 0.250
Br: 0.500 0.500 0.500

=====

3.
A plane-wave DFT calculation with PBE was carried out for a relaxed MnAs4Br crystal.

a b c (Å): 5.920 5.920 5.920
angles (deg): 60.00 60.00 60.00
Fractional coordinates of all 6 atoms:
Mn: 0.000 0.000 0.000
As: 0.181 0.606 0.606
As: 0.606 0.181 0.606
As: 0.606 0.606 0.181
As: 0.606 0.606 0.606
Br: 0.250 0.250 0.250

=====

4.
A plane-wave DFT calculation with PBE was carried out for a relaxed MnAs2Br crystal.

## Properties
E above lowest polymorph: 0.452 eV/atom

a b c (Å): 4.828 4.828 4.828
angles (deg): 110.47 110.47 107.49
Fractional coordinates of all 4 atoms:
Mn: 0.000 0.000 0.000
As: 0.000 0.500 0.500
As: 0.500 0.000 0.500
Br: 0.500 0.500 0.000

=====

5.
A plane-wave DFT calculation with PBE was carried out for a relaxed MnAs2Br crystal.

## Properties
E above lowest polymorph: 0.427 eV/atom

a b c (Å): 6.301 6.301 6.301
angles (deg): 151.35 136.51 52.91
Fractional coordinates of all 4 atoms:
Mn: 0.000 0.000 0.000
As: 0.205 0.705 0.500
As: 0.795 0.295 0.500
Br: 0.500 0.500 0.000

=====

6.
A plane-wave DFT calculation with PBE was carried out for a relaxed MnAs2Br crystal.

## Properties
E above lowest polymorph: 0.263 eV/atom

a b c (Å): 7.448 7.448 7.448
angles (deg): 28.72 28.72 28.72
Fractional coordinates of all 4 atoms:
Mn: 0.000 0.000 0.000
As: 0.276 0.276 0.276
As: 0.724 0.724 0.724
Br: 0.500 0.500 0.500

=====

7.
A plane-wave DFT calculation with PBE was carried out for a relaxed Mn3AsBr crystal.

## Properties
E above lowest polymorph: 0.000 eV/atom

a b c (Å): 4.864 4.864 4.864
angles (deg): 90.00 90.00 90.00
Fractional coordinates of all 5 atoms:
Mn: 0.000 0.000 0.500
Mn: 0.000 0.500 0.000
Mn: 0.500 0.000 0.000
As: 0.000 0.000 0.000
Br: 0.500 0.500 0.500

=====

8.
A plane-wave DFT calculation with PBE was carried out for a relaxed MnAs2Br crystal.

## Properties
E above lowest polymorph: 0.231 eV/atom

a b c (Å): 3.523 3.523 7.650
angles (deg): 90.00 90.00 90.00
Fractional coordinates of all 4 atoms:
Mn: 0.000 0.000 0.000
As: 0.000 0.000 0.339
As: 0.500 0.500 0.218
Br: 0.500 0.500 0.793

=====

| no. | uncorrected formation energy (eV per atom) |
| --- | --- |
| 1 | -0.099 |
| 2 | 0.630 |
| 3 | 0.426 |
| 4 | 0.267 |
| 5 | 0.243 |
| 6 | 0.078 |
| 7 | 0.468 |
| 8 | 0.047 |